No. 1
# RbErAsSe3

A geometry-optimized RbErAsSe3 structure (PBE-GGA, OQMD via LeMat-Bulk).

a = 7.9468 Å, b = 7.9468 Å, c = 11.5431 Å
α = 90.00°, β = 90.00°, γ = 148.28°
Closest atoms and distances in Å follow each position.
Positions (direct):
Rb 0.2252 0.7748 0.7500  2 Se 3.47, 2 As 3.60
Rb 0.7748 0.2252 0.2500  2 Se 3.47, 2 As 3.60
Er 0.5000 0.5000 0.0000  6 Se 2.87-2.89
Er 0.5000 0.5000 0.5000  6 Se 2.87-2.89
As 0.0867 0.9133 0.2500  4 Se 2.54-2.73
As 0.9133 0.0867 0.7500  4 Se 2.54-2.73
Se 0.1220 0.8780 0.0179  1 As 2.73, 2 Er 2.87
Se 0.1220 0.8780 0.4821  1 As 2.73, 2 Er 2.87
Se 0.4990 0.5010 0.7500  2 As 2.54
Se 0.5010 0.4990 0.2500  2 As 2.54
Se 0.8780 0.1220 0.5179  1 As 2.73, 2 Er 2.87
Se 0.8780 0.1220 0.9821  1 As 2.73, 2 Er 2.87

Calculated values
- space group = Cmcm (63)
- M_tot (μB/atom) = 0.00
- energy (eV/f.u.) = -26.7

No. 2
# LiFeGeAu

A geometry-optimized LiFeGeAu structure (PBE-GGA, OQMD via LeMat-Bulk).

a = 4.3522 Å, b = 4.3522 Å, c = 4.3522 Å
α = 60.00°, β = 60.00°, γ = 60.00°
Closest atoms and distances in Å follow each position.
Positions (direct):
Li 0.0000 0.0000 0.0000  4 Ge 2.67, 4 Au 2.67
Fe 0.5000 0.5000 0.5000  4 Ge 2.67, 4 Au 2.67
Ge 0.2500 0.2500 0.2500  4 Fe 2.67, 4 Li 2.67
Au 0.7500 0.7500 0.7500  4 Fe 2.67, 4 Li 2.67

Calculated values
- distance to the lowest polymorph of the same formula (kJ per mole of atoms) = 0.00
- space group = F-43m (216)
- M_tot (μB/atom) = 0.62

No. 3
# Dy2TmMg3Al2Zn

A geometry-optimized Dy2TmMg3Al2Zn structure (PBE-GGA, OQMD via LeMat-Bulk).

a = 4.4506 Å, b = 7.3178 Å, c = 7.3178 Å
α = 119.64°, β = 90.00°, γ = 90.00°
Closest atoms and distances in Å follow each position.
Positions (direct):
Dy 0.0000 0.2103 0.7897  1 Zn 3.09, 4 Al 3.13, 2 Mg 3.32
Dy 0.0000 0.7897 0.2103  1 Zn 3.09, 4 Al 3.13, 2 Mg 3.32
Tm 0.0000 0.3683 0.3683  1 Zn 3.07, 4 Al 3.11, 2 Mg 3.34
Mg 0.5000 0.0296 0.0296  2 Al 2.84, 2 Zn 2.86, 2 Mg 3.07
Mg 0.5000 0.5472 0.7885  2 Zn 2.83, 2 Al 2.84-2.85, 2 Mg 3.05-3.07
Mg 0.5000 0.7885 0.5472  2 Zn 2.83, 2 Al 2.84-2.85, 2 Mg 3.05-3.07
Al 0.5000 0.1240 0.4553  3 Mg 2.84-2.85, 2 Tm 3.11, 4 Dy 3.13
Al 0.5000 0.4553 0.1240  3 Mg 2.84-2.85, 2 Tm 3.11, 4 Dy 3.13
Zn 0.0000 0.7856 0.7856  6 Mg 2.83-2.86, 1 Tm 3.07, 2 Dy 3.09

Calculated values
- space group = Amm2 (38)
- M_tot (μB/atom) = 0.00
- energy (eV/f.u.) = -29.9

No. 4
# Rb2HfCuCl6

A geometry-optimized Rb2HfCuCl6 structure (PBE-GGA, OQMD via LeMat-Bulk).

a = 7.1295 Å, b = 7.1295 Å, c = 7.1295 Å
α = 60.00°, β = 60.00°, γ = 60.00°
Closest atoms and distances in Å follow each position.
Positions (direct):
Rb 0.2500 0.2500 0.2500  12 Cl 3.56
Rb 0.7500 0.7500 0.7500  12 Cl 3.56
Hf 0.0000 0.0000 0.0000  6 Cl 2.52
Cu 0.5000 0.5000 0.5000  6 Cl 2.53
Cl 0.2495 0.2495 0.7505  1 Hf 2.52, 1 Cu 2.53
Cl 0.2495 0.7505 0.2495  1 Hf 2.52, 1 Cu 2.53
Cl 0.2495 0.7505 0.7505  1 Hf 2.52, 1 Cu 2.53
Cl 0.7505 0.2495 0.2495  1 Hf 2.52, 1 Cu 2.53
Cl 0.7505 0.2495 0.7505  1 Hf 2.52, 1 Cu 2.53
Cl 0.7505 0.7505 0.2495  1 Hf 2.52, 1 Cu 2.53

Calculated values
- space group = Fm-3m (225)
- M_tot (μB/atom) = 0.10
- energy (eV/f.u.) = -41.3

No. 5
# CsRb2ZrF6

A geometry-optimized CsRb2ZrF6 structure (PBE-GGA, OQMD via LeMat-Bulk).

a = 6.6721 Å, b = 6.6721 Å, c = 6.6721 Å
α = 60.00°, β = 60.00°, γ = 60.00°
Closest atoms and distances in Å follow each position.
Positions (direct):
Cs 0.0000 0.0000 0.0000  6 F 2.65
Rb 0.2500 0.2500 0.2500  12 F 3.35
Rb 0.7500 0.7500 0.7500  12 F 3.35
Zr 0.5000 0.5000 0.5000  6 F 2.07
F 0.2810 0.2810 0.7190  1 Zr 2.07
F 0.2810 0.7190 0.2810  1 Zr 2.07
F 0.2810 0.7190 0.7190  1 Zr 2.07
F 0.7190 0.2810 0.2810  1 Zr 2.07
F 0.7190 0.2810 0.7190  1 Zr 2.07
F 0.7190 0.7190 0.2810  1 Zr 2.07

Calculated values
- space group = Fm-3m (225)
- M_tot (μB/atom) = 0.06
- energy (eV/f.u.) = -51.5

No. 6
# SmTmSn2Os2

A geometry-optimized SmTmSn2Os2 structure (PBE-GGA, OQMD via LeMat-Bulk).

a = 4.5168 Å, b = 4.5168 Å, c = 6.8245 Å
α = 90.00°, β = 90.00°, γ = 90.00°
Closest atoms and distances in Å follow each position.
Positions (direct):
Sm 0.0000 0.0000 0.0000  4 Os 3.03, 5 Sn 3.23-3.27
Tm 0.5000 0.5000 0.4298  4 Os 2.93, 4 Sn 3.21
Sn 0.0000 0.0000 0.4791  4 Os 2.73
Sn 0.5000 0.5000 0.9319  4 Os 2.74
Os 0.0000 0.5000 0.7039  4 Sn 2.73-2.74, 2 Tm 2.93, 2 Sm 3.03
Os 0.5000 0.0000 0.7039  4 Sn 2.73-2.74, 2 Tm 2.93, 2 Sm 3.03

Calculated values
- space group = P4mm (99)
- M_tot (μB/atom) = 0.00
- energy (eV/f.u.) = -41.6

No. 7
# LiLaCdAu2

A geometry-optimized LiLaCdAu2 structure (PBE-GGA, OQMD via LeMat-Bulk).

a = 7.1836 Å, b = 7.1836 Å, c = 7.1836 Å
α = 146.67°, β = 146.67°, γ = 47.86°
Closest atoms and distances in Å follow each position.
Positions (direct):
Li 0.0000 0.0000 0.0000  4 Au 2.80, 4 Cd 2.91
La 0.7500 0.2500 0.5000  8 Au 3.23
Cd 0.5000 0.5000 0.0000  4 Au 2.80, 4 Li 2.91
Au 0.1440 0.6440 0.5000  1 Au 2.79, 2 Li 2.80, 2 Cd 2.80
Au 0.3560 0.8560 0.5000  1 Au 2.79, 2 Cd 2.80, 2 Li 2.80

Calculated values
- space group = I-4m2 (119)
- M_tot (μB/atom) = 0.00
- energy (eV/f.u.) = -17.4

No. 8
# InPOsO

A geometry-optimized InPOsO structure (PBE-GGA, OQMD via LeMat-Bulk).

a = 4.1386 Å, b = 4.1386 Å, c = 9.0738 Å
α = 90.00°, β = 90.00°, γ = 90.00°
Closest atoms and distances in Å follow each position.
Positions (direct):
In 0.2500 0.7500 0.0000  4 P 2.81, 4 In 2.93
In 0.7500 0.2500 0.0000  4 P 2.81, 4 In 2.93
P 0.2500 0.2500 0.2087  1 Os 2.14
P 0.7500 0.7500 0.7913  1 Os 2.14
Os 0.2500 0.2500 0.4446  4 O 2.13, 1 P 2.14
Os 0.7500 0.7500 0.5554  4 O 2.13, 1 P 2.14
O 0.2500 0.7500 0.5000  4 Os 2.13
O 0.7500 0.2500 0.5000  4 Os 2.13

Calculated values
- distance to the lowest polymorph of the same formula (kJ per mole of atoms) = 77.23
- space group = P4/nmm (129)
- M_tot (μB/atom) = 0.08

No. 9
# AgBiB4

A geometry-optimized AgBiB4 structure (PBE-GGA, OQMD via LeMat-Bulk).

a = 5.4155 Å, b = 5.4155 Å, c = 5.4155 Å
α = 146.54°, β = 121.05°, γ = 69.51°
Closest atoms and distances in Å follow each position.
Positions (direct):
Ag 0.0000 0.0000 0.0000  12 B 2.84-2.86, 4 Bi 3.09, 2 Ag 3.12
Bi 0.5000 0.5000 0.0000  12 B 2.83-2.88, 4 Ag 3.09, 2 Bi 3.12
B 0.0801 0.7476 0.3325  3 B 1.79
B 0.4151 0.7476 0.6675  3 B 1.79
B 0.5849 0.2524 0.3325  3 B 1.79
B 0.9199 0.2524 0.6675  3 B 1.79

Calculated values
- distance to the lowest polymorph of the same formula (kJ per mole of atoms) = 0.00
- space group = Immm (71)

No. 10
# TmHf3Te2C2

A geometry-optimized TmHf3Te2C2 structure (PBE-GGA, OQMD via LeMat-Bulk).

a = 3.5525 Å, b = 3.5525 Å, c = 13.4327 Å
α = 90.00°, β = 90.00°, γ = 120.00°
Closest atoms and distances in Å follow each position.
Positions (direct):
Tm 0.0000 0.0000 0.0000  3 C 2.47
Hf 0.0000 0.0000 0.6734  3 C 2.35
Hf 0.6667 0.3333 0.1837  3 C 2.32
Hf 0.6667 0.3333 0.5021  3 C 2.35
Te 0.0000 0.0000 0.3439  6 Hf 2.95-2.97
Te 0.6667 0.3333 0.8285  3 Hf 2.92, 3 Tm 3.08
C 0.3333 0.6667 0.1023  3 Hf 2.32, 3 Tm 2.47
C 0.3333 0.6667 0.5878  6 Hf 2.35

Calculated values
- space group = P3m1 (156)
- M_tot (μB/atom) = 0.00
- energy (eV/f.u.) = -65.9

No. 11
# Ta2FeSe5

A geometry-optimized Ta2FeSe5 structure (PBE-GGA, OQMD via LeMat-Bulk).

a = 7.0734 Å, b = 7.0734 Å, c = 15.8012 Å
α = 90.00°, β = 90.00°, γ = 152.25°
Closest atoms and distances in Å follow each position.
Positions (direct):
Ta 0.2215 0.7785 0.6108  6 Se 2.57-2.68, 2 Fe 2.79
Ta 0.2215 0.7785 0.8892  6 Se 2.57-2.68, 2 Fe 2.79
Ta 0.7785 0.2215 0.1108  6 Se 2.57-2.68, 2 Fe 2.79
Ta 0.7785 0.2215 0.3892  6 Se 2.57-2.68, 2 Fe 2.79
Fe 0.2949 0.7051 0.2500  4 Se 2.37-2.39
Fe 0.7051 0.2949 0.7500  4 Se 2.37-2.39
Se 0.1500 0.8500 0.0471  3 Ta 2.65-2.68
Se 0.1500 0.8500 0.4529  3 Ta 2.65-2.68
Se 0.3258 0.6742 0.7500  2 Fe 2.37, 2 Ta 2.62
Se 0.4147 0.5853 0.1407  1 Fe 2.39, 2 Ta 2.57
Se 0.4147 0.5853 0.3593  1 Fe 2.39, 2 Ta 2.57
Se 0.5853 0.4147 0.6407  1 Fe 2.39, 2 Ta 2.57
Se 0.5853 0.4147 0.8593  1 Fe 2.39, 2 Ta 2.57
Se 0.6742 0.3258 0.2500  2 Fe 2.37, 2 Ta 2.62
Se 0.8500 0.1500 0.5471  3 Ta 2.65-2.68
Se 0.8500 0.1500 0.9529  3 Ta 2.65-2.68

Calculated values
- space group = Cmcm (63)
- M_tot (μB/atom) = 0.12
- energy (eV/f.u.) = -55.1

No. 12
# La2PrAl7Cu2

A geometry-optimized La2PrAl7Cu2 structure (PBE-GGA, OQMD via LeMat-Bulk).

a = 9.2957 Å, b = 9.2957 Å, c = 9.2957 Å
α = 35.28°, β = 35.28°, γ = 35.28°
Closest atoms and distances in Å follow each position.
Positions (direct):
La 0.1423 0.1423 0.1423  12 Al 3.30-3.39, 3 La 3.49
La 0.8577 0.8577 0.8577  12 Al 3.30-3.39, 3 La 3.49
Pr 0.0000 0.0000 0.0000  6 Cu 3.25, 12 Al 3.46
Al 0.0708 0.5797 0.5797  2 Cu 2.55-2.61, 2 Al 2.77
Al 0.4203 0.4203 0.9292  2 Cu 2.55-2.61, 2 Al 2.77
Al 0.4203 0.9292 0.4203  2 Cu 2.55-2.61, 2 Al 2.77
Al 0.5000 0.5000 0.5000  6 Al 2.87
Al 0.5797 0.0708 0.5797  2 Cu 2.55-2.61, 2 Al 2.77
Al 0.5797 0.5797 0.0708  2 Cu 2.55-2.61, 2 Al 2.77
Al 0.9292 0.4203 0.4203  2 Cu 2.55-2.61, 2 Al 2.77
Cu 0.3357 0.3357 0.3357  6 Al 2.55-2.61
Cu 0.6643 0.6643 0.6643  6 Al 2.55-2.61

Calculated values
- space group = R-3m (166)
- M_tot (μB/atom) = 0.00
- energy (eV/f.u.) = -54.0